Entry from Alexandria via LeMat-Bulk: a relaxed structure of CoBW (PBE-GGA).

Structure (POSCAR):
```
CoBW
1.0
3.131 0.000 0.000
0.000 4.701 0.000
-1.565 -2.350 4.277
Co W B
2 2 2
Direct
0.000 0.754 0.000
0.000 0.246 0.000
0.294 0.294 0.589
0.706 0.706 0.411
0.396 0.896 0.792
0.604 0.104 0.208
```

Calculated values
The symmetry is No. 71. Its final energy is -9.21 eV per atom. Its magnetic moment is 0.0 μB per cell.